# 1
A plane-wave DFT calculation with GGA-PBEsol was carried out for a relaxed structure of Mg30CrCuO32.

Calculated values
Space group = P4/mmm
Energy = -6.297 eV/atom

abc: 8.429 8.429 8.461
angles: 90.00 90.00 90.00
Sites, in units of the cell vectors:
1 Mg 0.000 0.000 0.000
2 Mg 0.000 0.000 0.500
3 Mg 0.000 0.250 0.249
4 Mg 0.000 0.250 0.751
5 Mg 0.000 0.500 0.000
6 Mg 0.000 0.500 0.500
7 Mg 0.000 0.750 0.249
8 Mg 0.000 0.750 0.751
9 Mg 0.250 0.000 0.249
10 Mg 0.250 0.000 0.751
11 Mg 0.250 0.250 0.500
12 Mg 0.250 0.750 0.500
13 Mg 0.252 0.252 0.000
14 Mg 0.252 0.500 0.246
15 Mg 0.252 0.500 0.754
16 Mg 0.252 0.748 0.000
17 Mg 0.500 0.000 0.000
18 Mg 0.500 0.000 0.500
19 Mg 0.500 0.252 0.246
20 Mg 0.500 0.252 0.754
21 Mg 0.500 0.748 0.246
22 Mg 0.500 0.748 0.754
23 Mg 0.748 0.252 0.000
24 Mg 0.748 0.500 0.246
25 Mg 0.748 0.500 0.754
26 Mg 0.748 0.748 0.000
27 Mg 0.750 0.000 0.249
28 Mg 0.750 0.000 0.751
29 Mg 0.750 0.250 0.500
30 Mg 0.750 0.750 0.500
31 Cr 0.500 0.500 0.500
32 Cu 0.500 0.500 0.000
33 O 0.000 0.000 0.251
34 O 0.000 0.000 0.749
35 O 0.000 0.249 0.000
36 O 0.000 0.251 0.500
37 O 0.000 0.500 0.254
38 O 0.000 0.500 0.746
39 O 0.000 0.749 0.500
40 O 0.000 0.751 0.000
41 O 0.240 0.500 0.000
42 O 0.249 0.000 0.000
43 O 0.251 0.000 0.500
44 O 0.251 0.251 0.251
45 O 0.251 0.251 0.749
46 O 0.251 0.749 0.251
47 O 0.251 0.749 0.749
48 O 0.257 0.500 0.500
49 O 0.500 0.000 0.254
50 O 0.500 0.000 0.746
51 O 0.500 0.240 0.000
52 O 0.500 0.257 0.500
53 O 0.500 0.500 0.267
54 O 0.500 0.500 0.733
55 O 0.500 0.743 0.500
56 O 0.500 0.760 0.000
57 O 0.743 0.500 0.500
58 O 0.749 0.000 0.500
59 O 0.749 0.251 0.251
60 O 0.749 0.251 0.749
61 O 0.749 0.749 0.251
62 O 0.749 0.749 0.749
63 O 0.751 0.000 0.000
64 O 0.760 0.500 0.000

# 2
A plane-wave DFT calculation with GGA-PBEsol was carried out for a relaxed structure of Mg2CrCuPb.

Calculated values
Space group = P4/mmm
Density of states at the Fermi level = 2.02 states/eV per cell
Energy = -3.273 eV/atom

abc: 5.277 5.277 5.218
angles: 90.00 90.00 90.00
Sites, in units of the cell vectors:
1 Mg 0.000 0.500 0.000
2 Mg 0.500 0.000 0.000
3 Cr 0.000 0.000 0.500
4 Cu 0.500 0.500 0.500
5 Pb 0.000 0.000 0.000

# 3
A plane-wave DFT calculation with GGA-PBEsol was carried out for a relaxed structure of Mg2TlCrCu.

Calculated values
Space group = P4/mmm
Density of states at the Fermi level = 2.06 states/eV per cell
Energy = -3.504 eV/atom

abc: 4.826 4.826 4.839
angles: 90.00 90.00 90.00
Sites, in units of the cell vectors:
1 Mg 0.000 0.500 0.000
2 Mg 0.500 0.000 0.000
3 Tl 0.000 0.000 0.500
4 Cr 0.500 0.500 0.500
5 Cu 0.000 0.000 0.000

# 4
A plane-wave DFT calculation with GGA-PBEsol was carried out for a relaxed structure of Mn2CrCu.

Calculated values
Space group = R-3m
Density of states at the Fermi level = 4.64 states/eV per cell
Energy = -8.278 eV/atom

abc: 8.349 8.349 8.349
angles: 17.01 17.01 17.01
Sites, in units of the cell vectors:
1 Mn 0.247 0.247 0.247
2 Mn 0.753 0.753 0.753
3 Cr 0.500 0.500 0.500
4 Cu 0.000 0.000 0.000

# 5
A plane-wave DFT calculation with GGA-PBEsol was carried out for a relaxed structure of Mn2CrCu.

Calculated values
Space group = P4mm
Density of states at the Fermi level = 3.52 states/eV per cell
Energy = -8.244 eV/atom

abc: 2.886 2.886 5.512
angles: 90.00 90.00 90.00
Sites, in units of the cell vectors:
1 Mn 0.000 0.000 0.000
2 Mn 0.500 0.500 0.272
3 Cr 0.000 0.000 0.482
4 Cu 0.500 0.500 0.751

# 6
A plane-wave DFT calculation with GGA-PBEsol was carried out for a relaxed structure of Mn2CrCu.

Calculated values
Space group = Pmm2
Density of states at the Fermi level = 3.98 states/eV per cell
Energy = -8.302 eV/atom

abc: 2.462 3.561 4.938
angles: 90.00 90.00 90.00
Sites, in units of the cell vectors:
1 Mn 0.000 0.000 0.000
2 Mn 0.500 0.500 0.222
3 Cr 0.000 0.000 0.463
4 Cu 0.500 0.500 0.730